Here is KAgCl2 after structural relaxation from Alexandria via LeMat-Bulk. Energies are from PBE.

V = 23.67 A^3/atom
Symmetry = Fm-3m (225)
Size of the total moment = 0.0 μB/f.u.
Calculated density = 3.82 g cm⁻³
Formation energy without anion corrections = -1.025 eV/atom

Lattice parameters (Å, degrees): 5.1161 5.1161 5.1161 60.00 60.00 60.00
Closest atoms and distances in Å follow each position.
Element x y z (fractional)
K 0.0000 0.0000 0.0000  8 Cl 3.13
Ag 0.5000 0.5000 0.5000  8 Cl 3.13
Cl 0.2500 0.2500 0.2500  4 K 3.13, 4 Ag 3.13
Cl 0.7500 0.7500 0.7500  4 K 3.13, 4 Ag 3.13

Here is MgTa3Ag after structural relaxation from Alexandria via LeMat-Bulk. Energies are from PBE.

V = 24.02 A^3/atom
Symmetry = Pm-3m (221)
Size of the total moment = 0.0 μB/f.u.
ΔE to the lowest computed polymorph = 0 meV/atom
Calculated density = 9.33 g cm⁻³
E_form = 1.8544 eV/atom

Lattice parameters (Å, degrees): 4.9340 4.9340 4.9340 90.00 90.00 90.00
Closest atoms and distances in Å follow each position.
Element x y z (fractional)
Mg 0.0000 0.0000 0.0000  12 Ta 3.49
Ta 0.0000 0.5000 0.5000  2 Ag 2.47
Ta 0.5000 0.0000 0.5000  2 Ag 2.47
Ta 0.5000 0.5000 0.0000  2 Ag 2.47
Ag 0.5000 0.5000 0.5000  6 Ta 2.47

Here is RbSm3Ag2Te6 after structural relaxation from Alexandria via LeMat-Bulk. Energies are from PBE.

V = 39.98 A^3/atom
Symmetry = C2/m (12)
Size of the total moment = 0.0 μB/f.u.
Calculated density = 5.25 g cm⁻³
Formation energy without anion corrections = -1.048 eV/atom

Lattice parameters (Å, degrees): 11.1381 11.1381 10.3856 112.13 112.13 23.79
Closest atoms and distances in Å follow each position.
Element x y z (fractional)
Rb 0.0000 0.0000 0.0000  6 Te 3.65-3.75
Sm 0.0000 0.0000 0.5000  6 Te 3.22-3.36, 4 Ag 3.37
Sm 0.3275 0.3275 0.1564  6 Te 3.07-3.24
Sm 0.6725 0.6725 0.8436  6 Te 3.07-3.24
Ag 0.3900 0.3900 0.5163  3 Te 2.73
Ag 0.6100 0.6100 0.4837  3 Te 2.73
Te 0.1670 0.1670 0.6188  2 Ag 2.73
Te 0.1751 0.1751 0.0490  3 Sm 3.07-3.12
Te 0.4866 0.4866 0.2736  1 Ag 2.73
Te 0.5134 0.5134 0.7264  1 Ag 2.73
Te 0.8249 0.8249 0.9510  3 Sm 3.07-3.12
Te 0.8330 0.8330 0.3812  2 Ag 2.73

Here is Si2IrRu after structural relaxation from Alexandria via LeMat-Bulk. Energies are from PBE.

V = 14.17 A^3/atom
Symmetry = F-43m (216)
Size of the total moment = 0.0 μB/f.u.
Calculated density = 10.24 g cm⁻³
Formation energy without anion corrections = 0.183 eV/atom

Lattice parameters (Å, degrees): 4.3119 4.3119 4.3119 60.00 60.00 60.00
Closest atoms and distances in Å follow each position.
Element x y z (fractional)
Si 0.0000 0.0000 0.0000  4 Ru 2.64, 4 Si 2.64
Si 0.2500 0.2500 0.2500  4 Ir 2.64, 4 Si 2.64
Ir 0.5000 0.5000 0.5000  4 Ru 2.64, 4 Si 2.64
Ru 0.7500 0.7500 0.7500  4 Ir 2.64, 4 Si 2.64

Here is Cs3Pb2O4 after structural relaxation from Alexandria via LeMat-Bulk. Energies are from PBE.

V = 32.10 A^3/atom
Symmetry = C2/c (15)
Size of the total moment = 0.0 μB/f.u.
ΔE to the lowest computed polymorph = 0 meV/atom
Calculated density = 5.04 g cm⁻³
Formation energy without anion corrections = -1.127 eV/atom

Lattice parameters (Å, degrees): 9.5438 9.5438 6.5221 99.00 99.00 92.80
Closest atoms and distances in Å follow each position.
Element x y z (fractional)
Cs 0.1080 0.8920 0.7500  4 O 3.04-3.07
Cs 0.2836 0.5145 0.4428  2 O 2.88-2.94
Cs 0.4855 0.7164 0.0572  2 O 2.88-2.94
Cs 0.5145 0.2836 0.9428  2 O 2.88-2.94
Cs 0.7164 0.4855 0.5572  2 O 2.88-2.94
Cs 0.8920 0.1080 0.2500  4 O 3.04-3.07
Pb 0.1166 0.3114 0.8531  3 O 2.10-2.21
Pb 0.3114 0.1166 0.3531  3 O 2.10-2.21
Pb 0.6886 0.8834 0.6469  3 O 2.10-2.21
Pb 0.8834 0.6886 0.1469  3 O 2.10-2.21
O 0.1617 0.1670 0.5750  2 Pb 2.21
O 0.1670 0.1617 0.0750  2 Pb 2.21
O 0.2817 0.4742 0.9249  1 Pb 2.10
O 0.4742 0.2817 0.4249  1 Pb 2.10
O 0.5258 0.7183 0.5751  1 Pb 2.10
O 0.7183 0.5258 0.0751  1 Pb 2.10
O 0.8330 0.8383 0.9250  2 Pb 2.21
O 0.8383 0.8330 0.4250  2 Pb 2.21

Here is SmScAgGe after structural relaxation from Alexandria via LeMat-Bulk. Energies are from PBE.

V = 22.17 A^3/atom
Symmetry = F-43m (216)
Size of the total moment = 0.5 μB/f.u.
Calculated density = 7.04 g cm⁻³
E_form = -0.4890 eV/atom

Lattice parameters (Å, degrees): 5.0056 5.0056 5.0056 60.00 60.00 60.00
Closest atoms and distances in Å follow each position.
Element x y z (fractional)
Sm 0.0000 0.0000 0.0000  4 Ge 3.07, 4 Ag 3.07
Sc 0.5000 0.5000 0.5000  4 Ge 3.07, 4 Ag 3.07
Ag 0.2500 0.2500 0.2500  4 Sc 3.07, 4 Sm 3.07
Ge 0.7500 0.7500 0.7500  4 Sc 3.07, 4 Sm 3.07

Q: Which of these has the highest calculated density?
A: Si2IrRu

Repeat the second record exactly.
Here is MgTa3Ag after structural relaxation from Alexandria via LeMat-Bulk. Energies are from PBE.

V = 24.02 A^3/atom
Symmetry = Pm-3m (221)
Size of the total moment = 0.0 μB/f.u.
ΔE to the lowest computed polymorph = 0 meV/atom
Calculated density = 9.33 g cm⁻³
E_form = 1.8544 eV/atom

Lattice parameters (Å, degrees): 4.9340 4.9340 4.9340 90.00 90.00 90.00
Closest atoms and distances in Å follow each position.
Element x y z (fractional)
Mg 0.0000 0.0000 0.0000  12 Ta 3.49
Ta 0.0000 0.5000 0.5000  2 Ag 2.47
Ta 0.5000 0.0000 0.5000  2 Ag 2.47
Ta 0.5000 0.5000 0.0000  2 Ag 2.47
Ag 0.5000 0.5000 0.5000  6 Ta 2.47